Entry 1:
# Zr3PdO PBE optimized geometry
data_Zr3PdO
_cell_length_a 4.4410
_cell_length_b 4.4410
_cell_length_c 4.4410
_cell_angle_alpha 90.00
_cell_angle_beta 90.00
_cell_angle_gamma 90.00
_symmetry_space_group_name_H-M 'P m -3 m'
_symmetry_Int_Tables_number 221
_symmetry_space_group_name_Hall '-P 4 2 3'
loop_
_atom_site_label
_atom_site_type_symbol
_atom_site_fract_x
_atom_site_fract_y
_atom_site_fract_z
Zr1 Zr 0.0000 0.0000 0.5000
Pd1 Pd 0.5000 0.5000 0.5000
O1 O 0.0000 0.0000 0.0000
# * E_form (uncorrected): -1.21 eV/atom
# * calculated volume: 88 Å³ per cell
# * raw total energy: -8.366 eV per atom
# * total magnetization: 0.0 μB/f.u.


Entry 2:
# Cs2DyCu2I6 PBE optimized geometry
data_Cs2DyCu2I6
_cell_length_a 13.2779
_cell_length_b 9.0309
_cell_length_c 8.6797
_cell_angle_alpha 90.00
_cell_angle_beta 112.84
_cell_angle_gamma 90.00
_symmetry_space_group_name_H-M 'C 1 2/m 1'
_symmetry_Int_Tables_number 12
_symmetry_space_group_name_Hall '-C 2y'
loop_
_atom_site_label
_atom_site_type_symbol
_atom_site_fract_x
_atom_site_fract_y
_atom_site_fract_z
Cs1 Cs 0.2187 0.0000 0.1619
Dy1 Dy 0.0000 0.0000 0.5000
Cu1 Cu 0.0370 0.5000 0.3897
I1 I 0.0241 0.2387 0.7599
I2 I 0.2481 0.0000 0.6163
# * E_form (uncorrected): -0.91 eV/atom
# * calculated volume: 959 Å³ per cell
# * raw total energy: -3.077 eV per atom
# * total magnetization: 0.0 μB/f.u.


Entry 3:
# PrSn4PdRh2 PBE optimized geometry
data_PrSn4PdRh2
_cell_length_a 4.5937
_cell_length_b 4.5937
_cell_length_c 27.6081
_cell_angle_alpha 90.00
_cell_angle_beta 90.00
_cell_angle_gamma 120.00
_symmetry_space_group_name_H-M 'R -3 m'
_symmetry_Int_Tables_number 166
_symmetry_space_group_name_Hall '-R 3 2"'
loop_
_atom_site_label
_atom_site_type_symbol
_atom_site_fract_x
_atom_site_fract_y
_atom_site_fract_z
Pr1 Pr 0.0000 0.0000 0.0000
Sn1 Sn 0.0000 0.0000 0.1292
Sn2 Sn 0.0000 0.0000 0.3962
Pd1 Pd 0.0000 0.0000 0.5000
Rh1 Rh 0.0000 0.0000 0.2336
# * calculated volume: 505 Å³ per cell
# * formation energy from the elements: -0.504 eV/atom
# * raw total energy: -5.589 eV per atom
# * total magnetization: 0.0 μB/f.u.


Entry 4:
# Li8PbAu5 PBE optimized geometry
data_Li8PbAu5
_cell_length_a 7.6714
_cell_length_b 7.6714
_cell_length_c 8.1448
_cell_angle_alpha 90.00
_cell_angle_beta 90.00
_cell_angle_gamma 90.00
_symmetry_space_group_name_H-M 'I -4'
_symmetry_Int_Tables_number 82
_symmetry_space_group_name_Hall 'I -4'
loop_
_atom_site_label
_atom_site_type_symbol
_atom_site_fract_x
_atom_site_fract_y
_atom_site_fract_z
Li1 Li 0.0706 0.1706 0.1571
Li2 Li 0.0961 0.3466 0.5189
Pb1 Pb 0.0000 0.0000 0.5000
Au1 Au 0.0000 0.5000 0.2500
Au2 Au 0.1317 0.2795 0.8364
# * calculated volume: 479 Å³ per cell
# * formation energy from the elements: -0.396 eV/atom
# * raw total energy: -2.925 eV per atom
# * total magnetization: 0.0 μB/f.u.


Entry 5:
# CoSi2PbS PBE optimized geometry
data_CoSi2PbS
_cell_length_a 5.2618
_cell_length_b 5.2618
_cell_length_c 4.8965
_cell_angle_alpha 90.00
_cell_angle_beta 90.00
_cell_angle_gamma 90.00
_symmetry_space_group_name_H-M 'P 4/m m m'
_symmetry_Int_Tables_number 123
_symmetry_space_group_name_Hall '-P 4 2'
loop_
_atom_site_label
_atom_site_type_symbol
_atom_site_fract_x
_atom_site_fract_y
_atom_site_fract_z
Co1 Co 0.0000 0.0000 0.0000
Si1 Si 0.0000 0.5000 0.5000
Pb1 Pb 0.0000 0.0000 0.5000
S1 S 0.5000 0.5000 0.0000
# * E_form (uncorrected): 1.64 eV/atom
# * calculated volume: 136 Å³ per cell
# * raw total energy: -3.513 eV per atom
# * total magnetization: 1.7 μB/f.u.


Entry 6:
# Tb12Pm6Er PBE optimized geometry
data_Tb12Pm6Er
_cell_length_a 12.0297
_cell_length_b 12.0297
_cell_length_c 15.1663
_cell_angle_alpha 90.00
_cell_angle_beta 90.00
_cell_angle_gamma 120.00
_symmetry_space_group_name_H-M 'R -3'
_symmetry_Int_Tables_number 148
_symmetry_space_group_name_Hall '-R 3'
loop_
_atom_site_label
_atom_site_type_symbol
_atom_site_fract_x
_atom_site_fract_y
_atom_site_fract_z
Tb1 Tb 0.0114 0.1764 0.1907
Tb2 Tb 0.0450 0.1912 0.4157
Pm1 Pm 0.0112 0.5895 0.6810
Er1 Er 0.0000 0.0000 0.0000
# * E above lowest polymorph: 0 kJ/mol of formula units
# * calculated volume: 1901 Å³ per cell
# * formation energy from the elements: 0.147 eV/atom
# * raw total energy: -4.518 eV per atom
# * total magnetization: 0.0 μB/f.u.